KCr2SbO8 | PBE+U | relaxed

Summary:
total DFT energy (no corrections)	-6.3403	eV per atom

Structure (CIF):
```
data_KCr2SbO8
_cell_length_a 5.5383
_cell_length_b 5.5383
_cell_length_c 7.9001
_cell_angle_alpha 90.00
_cell_angle_beta 90.00
_cell_angle_gamma 120.00
_space_group_name_H-M_alt 'P -3'
_space_group_IT_number 147
_space_group_name_Hall '-P 3'
loop_
_atom_site_label
_atom_site_type_symbol
_atom_site_fract_x
_atom_site_fract_y
_atom_site_fract_z
K1 K 0.0000 0.0000 0.0000
Cr1 Cr 0.3333 0.6667 0.7444
Sb1 Sb 0.0000 0.0000 0.5000
O1 O 0.0910 0.3462 0.6755
O2 O 0.3333 0.6667 0.9497
```